# 1
Material: Cs2TlCdAs
Method: DFT, PBE
State: relaxed

Values from the calculation:
Calculated total energy (eV per atom): -1.9577
DFT formation energy (eV/atom): -0.0301

```
data_Cs2TlCdAs
_chemical_formula_sum 'Cs2 Tl1 Cd1 As1'
_symmetry_space_group_name_H-M 'P 4/m m m'
_symmetry_Int_Tables_number 123
_symmetry_space_group_name_Hall '-P 4 2'
_cell_length_a 7.1954
_cell_length_b 7.1954
_cell_length_c 5.6115
_cell_angle_alpha 90.00
_cell_angle_beta 90.00
_cell_angle_gamma 90.00
loop_
_atom_site_label
_atom_site_type_symbol
_atom_site_fract_x
_atom_site_fract_y
_atom_site_fract_z
Cs1 Cs 0.0000 0.5000 0.0000
Tl1 Tl 0.0000 0.0000 0.5000
Cd1 Cd 0.5000 0.5000 0.5000
As1 As 0.0000 0.0000 0.0000
```

---

# 2
Material: AcAl4Au12
Method: DFT, PBE
State: relaxed

Values from the calculation:
Calculated total energy (eV per atom): -3.6756
DFT formation energy (eV/atom): -0.2399

```
data_AcAl4Au12
_chemical_formula_sum 'Ac2 Al8 Au24'
_symmetry_space_group_name_H-M 'I m -3'
_symmetry_Int_Tables_number 204
_symmetry_space_group_name_Hall '-I 2 2 3'
_cell_length_a 8.9968
_cell_length_b 8.9968
_cell_length_c 8.9968
_cell_angle_alpha 90.00
_cell_angle_beta 90.00
_cell_angle_gamma 90.00
loop_
_atom_site_label
_atom_site_type_symbol
_atom_site_fract_x
_atom_site_fract_y
_atom_site_fract_z
Ac1 Ac 0.0000 0.0000 0.0000
Al1 Al 0.2500 0.2500 0.2500
Au1 Au 0.0000 0.1581 0.3440
```

---

# 3
Material: NdErCu2Si2
Method: DFT, PBE
State: relaxed

Values from the calculation:
Calculated total energy (eV per atom): -5.3789

```
data_NdErCu2Si2
_chemical_formula_sum 'Nd1 Er1 Cu2 Si2'
_symmetry_space_group_name_H-M 'P -3 m 1'
_symmetry_Int_Tables_number 164
_symmetry_space_group_name_Hall '-P 3 2"'
_cell_length_a 4.1843
_cell_length_b 4.1843
_cell_length_c 7.5891
_cell_angle_alpha 90.00
_cell_angle_beta 90.00
_cell_angle_gamma 120.00
loop_
_atom_site_label
_atom_site_type_symbol
_atom_site_fract_x
_atom_site_fract_y
_atom_site_fract_z
Nd1 Nd 0.0000 0.0000 0.0000
Er1 Er 0.0000 0.0000 0.5000
Cu1 Cu 0.3333 0.6667 0.7288
Si1 Si 0.3333 0.6667 0.2629
```

---

# 4
Material: La2DyEr
Method: DFT, PBE
State: relaxed

Values from the calculation:
Calculated total energy (eV per atom): -4.7339
E above lowest polymorph (meV/atom): 0.0
DFT formation energy (eV/atom): 0.0210

```
data_La2DyEr
_chemical_formula_sum 'La2 Dy1 Er1'
_symmetry_space_group_name_H-M 'P 4/m m m'
_symmetry_Int_Tables_number 123
_symmetry_space_group_name_Hall '-P 4 2'
_cell_length_a 5.2206
_cell_length_b 5.2206
_cell_length_c 4.9798
_cell_angle_alpha 90.00
_cell_angle_beta 90.00
_cell_angle_gamma 90.00
loop_
_atom_site_label
_atom_site_type_symbol
_atom_site_fract_x
_atom_site_fract_y
_atom_site_fract_z
La1 La 0.0000 0.5000 0.0000
Dy1 Dy 0.0000 0.0000 0.5000
Er1 Er 0.5000 0.5000 0.5000
```

---

# 5
Material: PmSm2H
Method: DFT, PBE
State: relaxed

Values from the calculation:
Calculated total energy (eV per atom): -4.5421
E above lowest polymorph (meV/atom): 15.5

```
data_PmSm2H
_chemical_formula_sum 'Pm3 Sm6 H3'
_symmetry_space_group_name_H-M 'R 3 m'
_symmetry_Int_Tables_number 160
_symmetry_space_group_name_Hall 'R 3 -2"'
_cell_length_a 3.6668
_cell_length_b 3.6668
_cell_length_c 26.3845
_cell_angle_alpha 90.00
_cell_angle_beta 90.00
_cell_angle_gamma 120.00
loop_
_atom_site_label
_atom_site_type_symbol
_atom_site_fract_x
_atom_site_fract_y
_atom_site_fract_z
Pm1 Pm 0.0000 0.0000 0.0000
Sm1 Sm 0.0000 0.0000 0.5536
Sm2 Sm 0.0000 0.0000 0.7788
H1 H 0.0000 0.0000 0.1662
```